Entry 1:
First-principles (PBE) data for Mg3Pb4 after structural relaxation, as listed in the Alexandria database.

Properties
Fermi-level density of states   1.78 states/eV per cell
Symmetry   No. 191
Formation enthalpy at 0 K   0.01 eV/atom

abc: 5.9353 5.9353 6.3647
angles: 90.00 90.00 120.00
Last column: nearest neighbours and their distance in Å.
Positions (direct):
Mg: 0.0000 0.5000 0.0000  4 Mg 2.97
Mg: 0.5000 0.5000 0.0000  4 Mg 2.97
Mg: 0.5000 0.0000 0.0000  4 Mg 2.97
Pb: 0.0000 0.0000 0.2520  2 Pb 3.16-3.21, 6 Mg 3.37
Pb: 0.0000 0.0000 0.7480  2 Pb 3.16-3.21, 6 Mg 3.37
Pb: 0.6667 0.3333 0.5000  9 Pb 3.43-3.77, 6 Mg 3.61
Pb: 0.3333 0.6667 0.5000  9 Pb 3.43-3.77, 6 Mg 3.61

---

Entry 2:
First-principles (PBE) data for Mg2Pb after structural relaxation, as listed in the Alexandria database.

Properties
Fermi-level density of states   2.26 states/eV per cell
Symmetry   No. 141
Formation enthalpy at 0 K   0.05 eV/atom

abc: 14.2481 14.2481 14.2481
angles: 166.34 166.34 19.36
Last column: nearest neighbours and their distance in Å.
Positions (direct):
Mg: 0.4209 0.4209 0.0000  6 Mg 3.09-3.39, 4 Pb 3.27
Mg: 0.5791 0.5791 0.0000  6 Mg 3.09-3.39, 4 Pb 3.27
Mg: 0.1709 0.6709 0.5000  6 Mg 3.09-3.39, 4 Pb 3.27
Mg: 0.3291 0.8291 0.5000  6 Mg 3.09-3.39, 4 Pb 3.27
Pb: 0.7500 0.2500 0.5000  8 Mg 3.27, 4 Pb 3.39
Pb: 0.0000 0.0000 0.0000  8 Mg 3.27, 4 Pb 3.39

---

Entry 3:
First-principles (PBE) data for Mg2Pb after structural relaxation, as listed in the Alexandria database.

Properties
Fermi-level density of states   1.30 states/eV per cell
Symmetry   No. 123
Formation enthalpy at 0 K   0.12 eV/atom

abc: 4.6618 4.6618 3.9996
angles: 90.00 90.00 90.00
Last column: nearest neighbours and their distance in Å.
Positions (direct):
Mg: 0.0000 0.5000 0.5000  4 Pb 3.07, 4 Mg 3.30
Mg: 0.5000 0.0000 0.5000  4 Pb 3.07, 4 Mg 3.30
Pb: 0.0000 0.0000 0.0000  8 Mg 3.07

---

Entry 4:
First-principles (PBE) data for Mg2Pb after structural relaxation, as listed in the Alexandria database.

Properties
Fermi-level density of states   1.39 states/eV per cell
Symmetry   No. 164
Formation enthalpy at 0 K   0.01 eV/atom

abc: 5.0050 5.0050 3.5409
angles: 90.00 90.00 120.00
Last column: nearest neighbours and their distance in Å.
Positions (direct):
Mg: 0.3333 0.6667 0.2934  3 Pb 3.07, 3 Mg 3.24
Mg: 0.6667 0.3333 0.7066  3 Pb 3.07, 3 Mg 3.24
Pb: 0.0000 0.0000 0.0000  6 Mg 3.07

---

Entry 5:
First-principles (PBE) data for MgPb after structural relaxation, as listed in the Alexandria database.

Properties
Fermi-level density of states   10.45 states/eV per cell
Symmetry   No. 57
Formation enthalpy at 0 K   -0.01 eV/atom

abc: 6.5247 9.3578 10.4949
angles: 90.00 90.00 90.00
Last column: nearest neighbours and their distance in Å.
Positions (direct):
Mg: 0.2500 0.4362 0.1177  9 Pb 3.11-3.47
Mg: 0.7500 0.5638 0.8823  9 Pb 3.11-3.47
Mg: 0.2500 0.9362 0.8823  9 Pb 3.11-3.47
Mg: 0.7500 0.0638 0.1177  9 Pb 3.11-3.47
Mg: 0.2500 0.8897 0.3676  7 Pb 3.00-3.31, 2 Mg 3.35
Mg: 0.7500 0.1103 0.6324  7 Pb 3.00-3.31, 2 Mg 3.35
Mg: 0.2500 0.3897 0.6324  7 Pb 3.00-3.31, 2 Mg 3.35
Mg: 0.7500 0.6103 0.3676  7 Pb 3.00-3.31, 2 Mg 3.35
Mg: 0.0000 0.7500 0.6176  6 Pb 3.26-3.36, 4 Mg 3.26-3.35
Mg: 0.5000 0.2500 0.3824  6 Pb 3.26-3.36, 4 Mg 3.26-3.35
Mg: 0.0000 0.2500 0.3824  6 Pb 3.26-3.36, 4 Mg 3.26-3.35
Mg: 0.5000 0.7500 0.6176  6 Pb 3.26-3.36, 4 Mg 3.26-3.35
Pb: 0.2500 0.1056 0.1464  7 Mg 3.08-3.30
Pb: 0.7500 0.8944 0.8536  7 Mg 3.08-3.30
Pb: 0.2500 0.6056 0.8536  7 Mg 3.08-3.30
Pb: 0.7500 0.3944 0.1464  7 Mg 3.08-3.30
Pb: 0.2500 0.5638 0.3929  5 Mg 3.00-3.30
Pb: 0.7500 0.4362 0.6071  5 Mg 3.00-3.30
Pb: 0.2500 0.0638 0.6071  5 Mg 3.00-3.30
Pb: 0.7500 0.9362 0.3929  5 Mg 3.00-3.30
Pb: 0.0000 0.7500 0.1228  4 Pb 3.26-3.53, 6 Mg 3.31-3.47
Pb: 0.5000 0.2500 0.8772  4 Pb 3.26-3.53, 6 Mg 3.31-3.47
Pb: 0.0000 0.2500 0.8772  4 Pb 3.26-3.53, 6 Mg 3.31-3.47
Pb: 0.5000 0.7500 0.1228  4 Pb 3.26-3.53, 6 Mg 3.31-3.47

---

Entry 6:
First-principles (PBE) data for Mg3Pb after structural relaxation, as listed in the Alexandria database.

Properties
Fermi-level density of states   2.41 states/eV per cell
Symmetry   No. 194
Formation enthalpy at 0 K   0.07 eV/atom

abc: 5.1343 5.1343 9.3567
angles: 90.00 90.00 120.00
Last column: nearest neighbours and their distance in Å.
Positions (direct):
Mg: 0.6667 0.3333 0.5797  4 Pb 3.08-3.37, 7 Mg 3.19-3.37
Mg: 0.3333 0.6667 0.0797  4 Pb 3.08-3.37, 7 Mg 3.19-3.37
Mg: 0.3333 0.6667 0.4203  4 Pb 3.08-3.37, 7 Mg 3.19-3.37
Mg: 0.6667 0.3333 0.9203  4 Pb 3.08-3.37, 7 Mg 3.19-3.37
Mg: 0.0000 0.0000 0.2500  3 Pb 2.96
Mg: 0.0000 0.0000 0.7500  3 Pb 2.96
Pb: 0.6667 0.3333 0.2500  5 Mg 2.96-3.08
Pb: 0.3333 0.6667 0.7500  5 Mg 2.96-3.08

---

Entry 7:
First-principles (PBE) data for Mg2Pb after structural relaxation, as listed in the Alexandria database.

Properties
Fermi-level density of states   2.67 states/eV per cell
Symmetry   No. 8
Formation enthalpy at 0 K   -0.02 eV/atom

abc: 6.0663 6.0663 7.7689
angles: 77.30 77.30 33.35
Last column: nearest neighbours and their distance in Å.
Positions (direct):
Mg: 0.0082 0.0082 0.9935  4 Pb 3.16-3.36, 8 Mg 3.26-3.48
Mg: 0.6697 0.6697 0.6624  3 Pb 3.17-3.22, 9 Mg 3.20-3.48
Mg: 0.3277 0.3277 0.3327  5 Pb 3.21-3.26, 7 Mg 3.29-3.48
Mg: 0.3877 0.3877 0.7273  4 Pb 3.19-3.20, 8 Mg 3.20-3.48
Pb: 0.0423 0.0423 0.4115  8 Mg 3.20-3.36, 2 Pb 3.48
Pb: 0.7311 0.7311 0.0393  8 Mg 3.16-3.26, 2 Pb 3.48

---

Entry 8:
First-principles (PBE) data for MgPb after structural relaxation, as listed in the Alexandria database.

Properties
Fermi-level density of states   6.43 states/eV per cell
Symmetry   No. 62
Formation enthalpy at 0 K   -0.03 eV/atom

abc: 11.9476 5.4199 6.5536
angles: 90.00 90.00 90.00
Last column: nearest neighbours and their distance in Å.
Positions (direct):
Mg: 0.9166 0.2500 0.7817  3 Mg 3.21-3.44, 8 Pb 3.21-3.40
Mg: 0.4166 0.2500 0.7183  3 Mg 3.21-3.44, 8 Pb 3.21-3.40
Mg: 0.0834 0.7500 0.2182  3 Mg 3.21-3.44, 8 Pb 3.21-3.40
Mg: 0.5834 0.7500 0.2818  3 Mg 3.21-3.44, 8 Pb 3.21-3.40
Mg: 0.1778 0.2500 0.4927  7 Pb 3.18-3.34, 3 Mg 3.21-3.44
Mg: 0.6778 0.2500 0.0073  7 Pb 3.18-3.34, 3 Mg 3.21-3.44
Mg: 0.8222 0.7500 0.5073  7 Pb 3.18-3.34, 3 Mg 3.21-3.44
Mg: 0.3222 0.7500 0.9927  7 Pb 3.18-3.34, 3 Mg 3.21-3.44
Pb: 0.9357 0.2500 0.2924  7 Mg 3.18-3.35, 4 Pb 3.44-3.53
Pb: 0.4357 0.2500 0.2076  7 Mg 3.18-3.35, 4 Pb 3.44-3.53
Pb: 0.0643 0.7500 0.7076  7 Mg 3.18-3.35, 4 Pb 3.44-3.53
Pb: 0.5643 0.7500 0.7924  7 Mg 3.18-3.35, 4 Pb 3.44-3.53
Pb: 0.1736 0.2500 0.9898  8 Mg 3.24-3.40, 4 Pb 3.44-3.53
Pb: 0.6736 0.2500 0.5102  8 Mg 3.24-3.40, 4 Pb 3.44-3.53
Pb: 0.8264 0.7500 0.0102  8 Mg 3.24-3.40, 4 Pb 3.44-3.53
Pb: 0.3264 0.7500 0.4898  8 Mg 3.24-3.40, 4 Pb 3.44-3.53

---

Entry 9:
First-principles (PBE) data for MgPb after structural relaxation, as listed in the Alexandria database.

Properties
Fermi-level density of states   7.63 states/eV per cell
Symmetry   No. 223
Formation enthalpy at 0 K   0.52 eV/atom

abc: 8.2355 8.2355 8.2355
angles: 90.00 90.00 90.00
Last column: nearest neighbours and their distance in Å.
Positions (direct):
Mg: 0.2500 0.0000 0.5000  4 Pb 2.91
Mg: 0.7500 0.0000 0.5000  4 Pb 2.91
Mg: 0.0000 0.5000 0.2500  4 Pb 2.91
Mg: 0.0000 0.5000 0.7500  4 Pb 2.91
Mg: 0.5000 0.2500 0.0000  4 Pb 2.91
Mg: 0.5000 0.7500 0.0000  4 Pb 2.91
Pb: 0.2500 0.5000 0.0000  4 Mg 2.91
Pb: 0.7500 0.5000 0.0000  4 Mg 2.91
Pb: 0.5000 0.0000 0.2500  4 Mg 2.91
Pb: 0.5000 0.0000 0.7500  4 Mg 2.91
Pb: 0.0000 0.2500 0.5000  4 Mg 2.91
Pb: 0.0000 0.7500 0.5000  4 Mg 2.91

---

Entry 10:
First-principles (PBE) data for Mg3Pb after structural relaxation, as listed in the Alexandria database.

Properties
Fermi-level density of states   4.48 states/eV per cell
Symmetry   No. 63
Formation enthalpy at 0 K   -0.02 eV/atom

abc: 6.4973 6.3312 5.4797
angles: 90.00 90.00 119.16
Last column: nearest neighbours and their distance in Å.
Positions (direct):
Mg: 0.9998 0.9999 0.0000  2 Pb 3.17, 10 Mg 3.20-3.33
Mg: 0.4911 0.4937 0.0000  8 Mg 3.14-3.39, 4 Pb 3.17-3.33
Mg: 0.4911 0.9974 0.0000  8 Mg 3.14-3.39, 4 Pb 3.17-3.33
Mg: 0.3335 0.1668 0.5000  2 Pb 3.17, 10 Mg 3.20-3.33
Mg: 0.8423 0.6730 0.5000  8 Mg 3.14-3.39, 4 Pb 3.17-3.33
Mg: 0.8423 0.1693 0.5000  8 Mg 3.14-3.39, 4 Pb 3.17-3.33
Pb: 0.9758 0.4879 0.0000  10 Mg 3.17-3.33, 2 Pb 3.49
Pb: 0.3575 0.6788 0.5000  10 Mg 3.17-3.33, 2 Pb 3.49

---

Entry 11:
First-principles (PBE) data for Mg24Pb5 after structural relaxation, as listed in the Alexandria database.

Properties
Fermi-level density of states   17.97 states/eV per cell
Symmetry   No. 217
Formation enthalpy at 0 K   0.03 eV/atom

abc: 9.7392 9.7392 9.7392
angles: 109.47 109.47 109.47
Last column: nearest neighbours and their distance in Å.
Positions (direct):
Mg: 0.1893 0.3787 0.0000  8 Mg 3.01-3.24
Mg: 0.3787 0.1893 0.0000  8 Mg 3.01-3.24
Mg: 0.8107 0.8107 0.1894  8 Mg 3.01-3.24
Mg: 0.6213 0.6213 0.8106  8 Mg 3.01-3.24
Mg: 0.8107 0.1894 0.8107  8 Mg 3.01-3.24
Mg: 0.6213 0.8106 0.6213  8 Mg 3.01-3.24
Mg: 0.3787 0.0000 0.1893  8 Mg 3.01-3.24
Mg: 0.1893 0.0000 0.3787  8 Mg 3.01-3.24
Mg: 0.0000 0.3787 0.1893  8 Mg 3.01-3.24
Mg: 0.0000 0.1893 0.3787  8 Mg 3.01-3.24
Mg: 0.8106 0.6213 0.6213  8 Mg 3.01-3.24
Mg: 0.1894 0.8107 0.8107  8 Mg 3.01-3.24
Mg: 0.6813 0.4121 0.0000  7 Mg 3.02-3.24, 1 Pb 3.17
Mg: 0.4121 0.6813 0.0000  7 Mg 3.02-3.24, 1 Pb 3.17
Mg: 0.3187 0.3187 0.7308  7 Mg 3.02-3.24, 1 Pb 3.17
Mg: 0.5879 0.5879 0.2692  7 Mg 3.02-3.24, 1 Pb 3.17
Mg: 0.3187 0.7308 0.3187  7 Mg 3.02-3.24, 1 Pb 3.17
Mg: 0.5879 0.2692 0.5879  7 Mg 3.02-3.24, 1 Pb 3.17
Mg: 0.4121 0.0000 0.6813  7 Mg 3.02-3.24, 1 Pb 3.17
Mg: 0.6813 0.0000 0.4121  7 Mg 3.02-3.24, 1 Pb 3.17
Mg: 0.0000 0.4121 0.6813  7 Mg 3.02-3.24, 1 Pb 3.17
Mg: 0.0000 0.6813 0.4121  7 Mg 3.02-3.24, 1 Pb 3.17
Mg: 0.2692 0.5879 0.5879  7 Mg 3.02-3.24, 1 Pb 3.17
Mg: 0.7308 0.3187 0.3187  7 Mg 3.02-3.24, 1 Pb 3.17
Pb: 0.0000 0.6436 0.0000  9 Mg 3.17-3.42, 1 Pb 3.47
Pb: 0.6436 0.0000 0.0000  9 Mg 3.17-3.42, 1 Pb 3.47
Pb: 0.0000 0.0000 0.6436  9 Mg 3.17-3.42, 1 Pb 3.47
Pb: 0.3564 0.3564 0.3564  9 Mg 3.17-3.42, 1 Pb 3.47
Pb: 0.0000 0.0000 0.0000  4 Pb 3.47, 12 Mg 3.53